Mg2TeAs: optimized geometry, PBE-GGA.

Unit cell a=7.2000 b=7.2000 c=7.2000 alpha=90.00 beta=90.00 gamma=90.00
Space group F-43m (No. 216)
Unique sites:
Mg 0.0000 0.0000 0.0000 x4
Mg 0.2500 0.2500 0.2500 x4
Te 0.0000 0.0000 0.5000 x4
As 0.2500 0.2500 0.7500 x4

**VASP energy**: -2.684 eV per atom
**Fermi-level density of states**: 3.3 states/eV/f.u.
**Mass density**: 4.5 g cm⁻³
**ΔE_f (raw)**: 0.06 eV per atom
**M_tot**: 0.0000 μB/atom

SrPmCuO4: optimized geometry, PBE-GGA.

Unit cell a=3.8397 b=3.8397 c=12.3690 alpha=90.00 beta=90.00 gamma=90.00
Space group I4mm (No. 107)
Unique sites:
Sr 0.0000 0.0000 0.0000 x2
Pm 0.0000 0.0000 0.7211 x2
Cu 0.0000 0.0000 0.3599 x2
O 0.0000 0.0000 0.1952 x2
O 0.0000 0.0000 0.5340 x2
O 0.0000 0.5000 0.3494 x4

**VASP energy**: -6.540 eV per atom
**Fermi-level density of states**: 0.6 states/eV/f.u.
**Mass density**: 6.6 g cm⁻³
**ΔE_f (raw)**: -2.20 eV per atom
**M_tot**: 0.0000 μB/atom

PuAgBi2O8: optimized geometry, PBE-GGA.

Unit cell a=5.1329 b=5.1407 c=7.1999 alpha=86.49 beta=86.79 gamma=86.42
Space group P-1 (No. 2)
Unique sites:
Pu 0.0000 0.0000 0.0000 x1
Ag 0.0000 0.0000 0.5000 x1
Bi 0.4595 0.4614 0.2622 x2
O 0.1612 0.1618 0.2521 x2
O 0.1977 0.2100 0.8324 x2
O 0.2910 0.7189 0.9975 x2
O 0.2972 0.7043 0.5007 x2

**VASP energy**: -6.739 eV per atom
**Fermi-level density of states**: 1.6 states/eV/f.u.
**Mass density**: 7.9 g cm⁻³
**ΔE_f (raw)**: -1.35 eV per atom
**M_tot**: 0.0854 μB/atom

CdIr2: optimized geometry, PBE-GGA.

Unit cell a=4.4951 b=4.4951 c=2.8390 alpha=90.00 beta=90.00 gamma=120.00
Space group P6/mmm (No. 191)
Unique sites:
Cd 0.0000 0.0000 0.0000 x1
Ir 0.3333 0.6667 0.5000 x2

**VASP energy**: -5.915 eV per atom
**Fermi-level density of states**: 3.8 states/eV/f.u.
**Mass density**: 16.6 g cm⁻³
**Energy of formation**: 0.2972 eV per atom
**M_tot**: 0.0000 μB/atom

LiTmAsS4: optimized geometry, PBE-GGA.

Unit cell a=7.5765 b=7.6963 c=10.5730 alpha=90.00 beta=90.00 gamma=90.00
Space group Imma (No. 74)
Unique sites:
Li 0.2500 0.2500 0.2500 x4
Tm 0.0000 0.0000 0.0000 x4
As 0.0000 0.2500 0.6325 x4
S 0.0000 0.0003 0.2546 x8
S 0.2451 0.2500 0.0080 x8

**VASP energy**: -4.859 eV per atom
**Fermi-level density of states**: 1.8 states/eV/f.u.
**Mass density**: 4.1 g cm⁻³
**ΔE_f (raw)**: -0.92 eV per atom
**M_tot**: 0.0000 μB/atom

Pd2CS: optimized geometry, PBE-GGA.

Unit cell a=5.9270 b=5.9270 c=5.9270 alpha=90.00 beta=90.00 gamma=90.00
Space group Fm-3m (No. 225)
Unique sites:
Pd 0.2500 0.2500 0.2500 x8
C 0.0000 0.0000 0.0000 x4
S 0.0000 0.0000 0.5000 x4

**VASP energy**: -4.902 eV per atom
**Fermi-level density of states**: 2.5 states/eV/f.u.
**Mass density**: 8.2 g cm⁻³
**ΔE_f (raw)**: 1.03 eV per atom
**M_tot**: 0.0000 μB/atom

Please write out number 4 again, unchanged.
CdIr2: optimized geometry, PBE-GGA.

Unit cell a=4.4951 b=4.4951 c=2.8390 alpha=90.00 beta=90.00 gamma=120.00
Space group P6/mmm (No. 191)
Unique sites:
Cd 0.0000 0.0000 0.0000 x1
Ir 0.3333 0.6667 0.5000 x2

**VASP energy**: -5.915 eV per atom
**Fermi-level density of states**: 3.8 states/eV/f.u.
**Mass density**: 16.6 g cm⁻³
**Energy of formation**: 0.2972 eV per atom
**M_tot**: 0.0000 μB/atom